# 1
4
Lattice="3.1413 0.0000 0.0000 0.0000 3.1333 -0.0091 0.0000 3.1416 6.4469" Properties=species:S:1:pos:R:3 comment="GGA-PBE Co2HgSb, relaxed" total_energy_ev_per_fu=-17.38 raw_formation_energy_ev_per_atom=0.31 crystal_system=monoclinic volume_a3_per_cell=63.55 pbc="T T T"
Co 0.0000 3.1410 6.2520
Co 0.0000 3.1380 3.4138
Hg 1.5707 1.5687 1.6095
Sb 1.5707 4.7061 4.8284

=====

# 2
4
Lattice="3.0866 0.0000 0.0000 0.0000 3.0866 0.0000 0.0000 0.0000 9.2382" Properties=species:S:1:pos:R:3 comment="GGA-PBE CoHg2Sb, relaxed" total_energy_ev_per_fu=-11.18 raw_formation_energy_ev_per_atom=0.16 crystal_system=tetragonal volume_a3_per_cell=88.01 pbc="T T T"
Co 1.5433 1.5433 6.8651
Hg 0.0000 0.0000 8.6845
Hg 1.5433 1.5433 2.1840
Sb 0.0000 0.0000 5.3620

=====

# 3
4
Lattice="-3.7337 1.6397 3.3296 2.8968 -4.1163 1.5426 2.2655 2.1496 1.4818" Properties=species:S:1:pos:R:3 comment="GGA-PBE CoHg2Sb, relaxed" total_energy_ev_per_fu=-9.77 raw_formation_energy_ev_per_atom=0.52 crystal_system=orthorhombic volume_a3_per_cell=85.63 pbc="T T T"
Co 2.5811 -0.9834 1.5122
Hg 0.0000 0.0000 0.0000
Hg -0.4184 -1.2383 2.4361
Sb -0.7341 1.8947 2.4057

=====

# 4
4
Lattice="7.9464 0.0525 0.0312 7.2980 3.1446 0.0312 7.2980 1.5305 2.7471" Properties=species:S:1:pos:R:3 comment="GGA-PBE Co2HgSb, relaxed" total_energy_ev_per_fu=-17.06 raw_formation_energy_ev_per_atom=0.40 crystal_system=trigonal volume_a3_per_cell=66.86 pbc="T T T"
Co 0.1194 0.0250 0.0149
Co 11.1518 2.3387 1.3899
Hg 5.6356 1.1819 0.7024
Sb 16.9068 3.5456 2.1071

=====

# 5
4
Lattice="-3.3594 -1.1041 2.1436 -2.3135 -3.4179 0.2552 2.2860 -2.6549 4.5191" Properties=species:S:1:pos:R:3 comment="GGA-PBE Co2HgSb, relaxed" total_energy_ev_per_fu=-17.10 raw_formation_energy_ev_per_atom=0.38 crystal_system=monoclinic volume_a3_per_cell=67.34 pbc="T T T"
Co -5.5508 -4.6067 2.5702
Co -1.8154 -3.5037 3.2875
Hg -2.5401 -5.3826 5.1884
Sb -0.8467 -1.7942 1.7295

=====

# 6
3
Lattice="-0.3217 2.5334 2.1870 0.7583 -3.0851 1.1008 6.2258 1.3139 -0.6061" Properties=species:S:1:pos:R:3 comment="GGA-PBE CoHgSb, relaxed" total_energy_ev_per_fu=-10.85 raw_formation_energy_ev_per_atom=0.23 de_polymorph_ev_per_atom=0.035 crystal_system=trigonal volume_a3_per_cell=62.57 pbc="T T T"
Co 6.1091 1.2893 -0.5948
Hg 1.8041 1.0332 1.6530
Sb 4.9750 -0.2464 1.0173

=====

# 7
4
Lattice="5.3174 0.0027 0.0026 4.4569 2.9001 0.0026 1.2490 0.3709 4.2882" Properties=species:S:1:pos:R:3 comment="GGA-PBE Co2HgSb, relaxed" total_energy_ev_per_fu=-17.07 raw_formation_energy_ev_per_atom=0.39 crystal_system=monoclinic volume_a3_per_cell=66.07 pbc="T T T"
Co 0.3338 0.0991 0.1452
Co 7.9425 2.3587 3.0653
Hg 5.4093 1.6064 2.4252
Sb 2.8494 0.8462 0.8044

=====

# 8
4
Lattice="9.4033 -0.0020 -0.0012 8.8057 3.2987 -0.0012 8.8057 1.5943 2.8879" Properties=species:S:1:pos:R:3 comment="GGA-PBE CoHg2Sb, relaxed" total_energy_ev_per_fu=-11.15 raw_formation_energy_ev_per_atom=0.17 crystal_system=trigonal volume_a3_per_cell=89.67 pbc="T T T"
Co 6.6521 1.2044 0.7105
Hg 26.5516 4.8072 2.8361
Hg 20.2247 3.6617 2.1603
Sb 14.1083 2.5543 1.5070

=====

# 9
4
Lattice="4.9164 0.0000 0.0000 2.4582 4.2577 0.0000 2.4582 1.4192 4.0142" Properties=species:S:1:pos:R:3 comment="GGA-PBE CoHg2Sb, relaxed" total_energy_ev_per_fu=-9.56 raw_formation_energy_ev_per_atom=0.57 crystal_system=cubic volume_a3_per_cell=84.03 pbc="T T T"
Co 4.9164 2.8385 2.0071
Hg 0.0000 0.0000 0.0000
Hg 7.3746 4.2577 3.0107
Sb 2.4582 1.4192 1.0036

=====

# 10
4
Lattice="-2.8173 -0.4494 -2.8327 0.2018 -3.4965 0.3540 -3.2996 -1.5813 3.5325" Properties=species:S:1:pos:R:3 comment="GGA-PBE Co2HgSb, relaxed" total_energy_ev_per_fu=-17.43 raw_formation_energy_ev_per_atom=0.30 crystal_system=monoclinic volume_a3_per_cell=67.65 pbc="T T T"
Co -3.2014 -2.2426 3.5398
Co -2.2548 -0.8357 -0.4779
Hg -1.2911 -2.3346 1.6544
Sb -4.0163 -4.2345 1.8132

=====

# 11
4
Lattice="5.3259 0.0245 0.0000 1.7172 5.0415 0.0000 -3.5216 -2.5330 3.0900" Properties=species:S:1:pos:R:3 comment="GGA-PBE CoHg2Sb, relaxed" total_energy_ev_per_fu=-9.81 raw_formation_energy_ev_per_atom=0.51 crystal_system=tetragonal volume_a3_per_cell=82.84 pbc="T T T"
Co 2.6629 0.0123 1.5450
Hg 0.0000 0.0000 0.0000
Hg 0.8586 2.5208 1.5450
Sb 3.5216 2.5330 0.0000

=====

# 12
4
Lattice="7.2301 -0.0331 -0.0023 6.5894 2.9757 -0.0023 1.1670 0.2485 3.9349" Properties=species:S:1:pos:R:3 comment="GGA-PBE CoHg2Sb, relaxed" total_energy_ev_per_fu=-10.83 raw_formation_energy_ev_per_atom=0.25 crystal_system=monoclinic volume_a3_per_cell=85.52 pbc="T T T"
Co 3.7466 0.7978 0.9826
Hg 12.9827 2.7644 0.2554
Hg 8.3301 1.7737 1.7051
Sb 11.2399 2.3933 2.9477

=====

# 13
4
Lattice="5.2130 0.0256 0.0000 2.4067 4.6243 0.0000 -3.8099 -2.3249 2.6937" Properties=species:S:1:pos:R:3 comment="GGA-PBE Co2HgSb, relaxed" total_energy_ev_per_fu=-16.72 raw_formation_energy_ev_per_atom=0.48 crystal_system=tetragonal volume_a3_per_cell=64.77 pbc="T T T"
Co 0.0000 0.0000 0.0000
Co 1.2034 2.3121 1.3468
Hg 3.8099 2.3249 0.0000
Sb 2.6065 0.0128 1.3468

=====

# 14
10
Lattice="-5.9467 -1.1780 2.5002 2.7624 -2.7237 5.2870 0.0813 5.3565 2.7170" Properties=species:S:1:pos:R:3 comment="GGA-PBE CoHg2Sb2, relaxed" total_energy_ev_per_fu=-15.26 raw_formation_energy_ev_per_atom=0.14 crystal_system=tetragonal volume_a3_per_cell=258.30 pbc="T T T"
Sb 0.2925 -2.6958 5.3059
Sb -3.1886 -2.7842 5.5843
Sb -3.4768 -1.2058 2.4813
Sb 0.0043 -1.1175 2.2029
Co 0.0000 0.0000 0.0000
Co -1.5921 -1.9508 3.8936
Hg 0.3900 0.0521 6.5255
Hg -2.9925 -0.1335 6.9926
Hg -3.4929 1.4028 3.9788
Hg -0.1105 1.5884 3.5117

=====

# 15
8
Lattice="10.1336 0.0000 0.0000 0.0000 10.1336 0.0000 5.0668 5.0668 2.3460" Properties=species:S:1:pos:R:3 comment="GGA-PBE CoHg2Sb, relaxed" total_energy_ev_per_fu=-10.93 raw_formation_energy_ev_per_atom=0.23 crystal_system=tetragonal volume_a3_per_cell=240.91 pbc="T T T"
Sb 0.0000 0.0000 0.0000
Sb 10.1336 5.0668 1.1730
Co 5.0668 5.0668 0.0000
Co 5.0668 10.1336 1.1730
Hg 5.0680 2.5334 0.5865
Hg 5.0656 7.6002 0.5865
Hg 7.6002 10.1324 1.7595
Hg 12.6670 10.1349 1.7595

=====

# 16
5
Lattice="4.7241 0.0000 0.0000 0.0000 4.7241 0.0000 0.0000 0.0000 4.7241" Properties=species:S:1:pos:R:3 comment="GGA-PBE Co3HgSb, relaxed" total_energy_ev_per_fu=-20.20 raw_formation_energy_ev_per_atom=1.11 de_polymorph_ev_per_atom=0.000 crystal_system=cubic volume_a3_per_cell=105.43 pbc="T T T"
Sb 0.0000 0.0000 0.0000
Co 0.0000 2.3620 0.0000
Co 0.0000 0.0000 2.3620
Co 2.3620 0.0000 0.0000
Hg 2.3620 2.3620 2.3620

=====

# 17
4
Lattice="-1.3629 0.2522 -4.3709 -3.5094 -2.5654 -1.4589 -4.0053 1.9740 -1.0424" Properties=species:S:1:pos:R:3 comment="GGA-PBE Co2HgSb, relaxed" total_energy_ev_per_fu=-15.93 raw_formation_energy_ev_per_atom=0.68 crystal_system=cubic volume_a3_per_cell=68.17 pbc="T T T"
Co 0.0000 0.0000 0.0000
Co -2.2194 -0.0848 -1.7181
Hg -4.4388 -0.1696 -3.4361
Sb -6.6582 -0.2544 -5.1542

=====

# 18
8
Lattice="-2.8104 4.3053 4.6221 -5.4377 -4.2231 0.6273 -2.7675 -1.3857 4.7785" Properties=species:S:1:pos:R:3 comment="GGA-PBE Co2HgSb, relaxed" total_energy_ev_per_fu=-16.29 raw_formation_energy_ev_per_atom=0.59 crystal_system=tetragonal volume_a3_per_cell=139.47 pbc="T T T"
Sb -4.1241 0.0411 2.6247
Sb -6.1647 -2.7839 4.0152
Co -3.0653 1.7203 4.0586
Co -4.5045 -2.3516 2.2676
Co -5.2901 -1.1028 5.5664
Co -9.1713 -0.8731 8.1630
Hg 0.0000 0.0000 0.0000
Hg -4.8510 1.4803 6.0126

=====

# 19
4
Lattice="-2.9024 3.1186 -1.0260 -1.9788 -2.8464 -3.0544 -3.2386 -2.2418 2.3475" Properties=species:S:1:pos:R:3 comment="GGA-PBE CoHg2Sb, relaxed" total_energy_ev_per_fu=-10.12 raw_formation_energy_ev_per_atom=0.43 crystal_system=monoclinic volume_a3_per_cell=89.51 pbc="T T T"
Co -5.3643 -2.2568 -1.0432
Hg -4.9998 -4.8767 -0.6796
Hg -2.8263 -2.7556 -0.3808
Sb -2.7555 0.2873 -0.6897

=====

# 20
4
Lattice="3.0612 0.0000 0.0000 0.0000 3.1378 0.0000 0.0000 0.0000 7.6604" Properties=species:S:1:pos:R:3 comment="GGA-PBE Co2HgSb, relaxed" total_energy_ev_per_fu=-17.56 raw_formation_energy_ev_per_atom=0.27 crystal_system=orthorhombic volume_a3_per_cell=73.58 pbc="T T T"
Co 0.0000 0.0000 0.3602
Co 1.5306 1.5689 1.4721
Hg 0.0000 0.0000 3.2620
Sb 1.5306 1.5689 6.3962

=====

# 21
17
Lattice="1.1819 -7.3310 -2.8126 6.9961 3.6407 0.9227 -3.7099 -0.4199 7.0080" Properties=species:S:1:pos:R:3 comment="GGA-PBE Co4HgSb12, relaxed" total_energy_ev_per_fu=-80.93 raw_formation_energy_ev_per_atom=-0.16 crystal_system=cubic volume_a3_per_cell=385.41 pbc="T T T"
Co 3.4980 1.8204 0.4614
Co 0.5909 -3.6655 -1.4063
Co 2.2340 -2.0551 2.5590
Co -1.8550 -0.2099 3.5040
Hg 0.0000 0.0000 0.0000
Sb 2.6856 -5.0135 -0.8312
Sb 3.2612 -0.7190 0.6368
Sb -0.3739 -5.7488 2.4897
Sb -1.5004 -2.1696 5.1069
Sb 4.8420 1.6387 2.6284
Sb 1.2068 -3.3912 4.4813
Sb 0.4629 -3.1830 1.1009
Sb 4.0051 -0.9271 4.0172
Sb 5.9684 -1.9406 0.0112
Sb 3.7734 -3.9473 1.7941
Sb 0.6947 -0.1629 3.3240
Sb 1.7825 0.9033 5.9493

=====

# 22
3
Lattice="4.4047 0.0000 0.0000 2.2023 3.8146 0.0000 2.2023 1.2715 3.5964" Properties=species:S:1:pos:R:3 comment="GGA-PBE CoHgSb, relaxed" total_energy_ev_per_fu=-10.96 raw_formation_energy_ev_per_atom=0.19 de_polymorph_ev_per_atom=0.000 crystal_system=cubic volume_a3_per_cell=60.43 pbc="T T T"
Co 6.6070 3.8146 2.6973
Hg 0.0000 0.0000 0.0000
Sb 4.4047 2.5430 1.7982

=====

# 23
3
Lattice="-5.0349 -0.7434 -4.5866 -6.4033 -1.4860 -1.9316 -1.3921 2.7445 0.0508" Properties=species:S:1:pos:R:3 comment="GGA-PBE CoHgSb, relaxed" total_energy_ev_per_fu=-10.87 raw_formation_energy_ev_per_atom=0.22 de_polymorph_ev_per_atom=0.029 crystal_system=tetragonal volume_a3_per_cell=61.54 pbc="T T T"
Co -1.4739 2.7040 -0.0027
Hg -5.0854 0.9159 -2.3642
Sb -7.6631 -0.3603 -4.0497

=====

# 24
5
Lattice="5.1559 0.0000 0.0000 0.0000 5.1559 0.0000 0.0000 0.0000 4.9378" Properties=species:S:1:pos:R:3 comment="GGA-PBE Tl2CoHgSb, relaxed" total_energy_ev_per_fu=-15.56 raw_formation_energy_ev_per_atom=0.14 crystal_system=tetragonal volume_a3_per_cell=131.27 pbc="T T T"
Sb 0.0000 0.0000 2.4689
Tl 0.0000 2.5780 0.0000
Tl 2.5780 0.0000 0.0000
Co 0.0000 0.0000 0.0000
Hg 2.5780 2.5780 2.4689

=====

# 25
5
Lattice="-5.0233 0.8933 0.8890 -0.9648 -0.3752 -5.0745 -0.7459 -4.6796 0.4879" Properties=species:S:1:pos:R:3 comment="GGA-PBE TlCoHg2Sb, relaxed" total_energy_ev_per_fu=-13.57 raw_formation_energy_ev_per_atom=0.13 crystal_system=tetragonal volume_a3_per_cell=127.77 pbc="T T T"
Sb -0.3729 -2.3398 0.2439
Tl -3.3670 -2.0808 -1.8488
Co 0.0000 0.0000 0.0000
Hg -0.4824 -0.1876 -2.5373
Hg -2.5117 0.4467 0.4445

=====

# 26
9
Lattice="-0.6085 -1.5924 3.0081 -3.8658 -5.8993 -3.9050 7.9225 -0.5507 1.3111" Properties=species:S:1:pos:R:3 comment="GGA-PBE Sc6CoHg2, relaxed" total_energy_ev_per_fu=-48.42 ef_mev_per_atom=-301.9 crystal_system=orthorhombic volume_a3_per_cell=194.21 pbc="T T T"
Sc -2.6359 -4.3545 -0.8512
Sc 1.3039 -3.3491 0.4780
Sc 0.6157 -7.0261 -1.6078
Sc -0.9169 -1.3992 -0.9262
Sc 3.1026 -4.9258 -1.9800
Sc -1.9957 -6.0256 -3.5935
Co -0.3113 -0.8070 1.4970
Hg 3.9917 -2.3304 -0.4262
Hg 0.0673 -4.1162 -2.1654

=====

# 27
11
Lattice="3.3288 0.0000 0.0000 0.0000 7.3255 -0.5884 0.0000 -0.0535 9.0796" Properties=species:S:1:pos:R:3 comment="GGA-PBE Sc4Co2Hg5, relaxed" total_energy_ev_per_fu=-44.78 ef_mev_per_atom=-339.5 crystal_system=monoclinic volume_a3_per_cell=221.30 pbc="T T T"
Sc 1.6644 5.8039 4.6254
Sc 1.6644 1.2659 7.4426
Sc 1.6644 1.4681 3.8658
Sc 1.6644 6.0062 1.0487
Co 0.0000 0.4807 5.7036
Co 0.0000 6.7914 2.7876
Hg 0.0000 3.9979 2.7528
Hg 0.0000 1.1715 1.1911
Hg 0.0000 3.6627 -0.2942
Hg 0.0000 6.1005 7.3001
Hg 0.0000 3.2741 5.7384

=====

# 28
3
Lattice="-3.2900 -3.4354 -2.2648 -1.5005 -5.0502 0.0252 -2.7035 -0.2818 1.9146" Properties=species:S:1:pos:R:3 comment="GGA-PBE ScCoHg, relaxed" total_energy_ev_per_fu=-14.25 ef_mev_per_atom=-169.0 crystal_system=tetragonal volume_a3_per_cell=52.12 pbc="T T T"
Co -4.7676 -8.3954 -2.1940
Hg -4.0785 -5.6867 -0.8223
Sc -3.4385 -3.1709 0.4517